First-principles (PBEsol) data for a relaxed structure of SiTcIr3, as listed in Alexandria via LeMat-Bulk.

Summary:
- formation energy (no corrections) (eV/atom) = 1.1052
- V (A^3/atom) = 16.6

Cell: 4.360 4.360 4.360 Å, 90.00 90.00 90.00°
Fractional coordinates of all 5 atoms:
Ir 0.500 0.000 0.000
Ir 0.000 0.000 0.500
Ir 0.000 0.500 0.000
Tc 0.500 0.500 0.500
Si 0.000 0.000 0.000